# Zr3BOs PBE-GGA relaxed
# energy relative to the elements = 0.048 eV per atom
# DOS at the Fermi energy = 5.07 states/eV per cell
# magnetization = 0.0 μB per formula unit
data_Zr3BOs
_chemical_formula_sum 'Zr3 B1 Os1'
_symmetry_space_group_name_H-M 'P 1'
_symmetry_Int_Tables_number 1
_symmetry_space_group_name_Hall 'P 1'
_cell_length_a 4.541
_cell_length_b 4.541
_cell_length_c 4.541
_cell_angle_alpha 90.00
_cell_angle_beta 90.00
_cell_angle_gamma 90.00
loop_
_atom_site_label
_atom_site_type_symbol
_atom_site_fract_x
_atom_site_fract_y
_atom_site_fract_z
Zr1 Zr 0.000 0.000 0.500
Zr2 Zr 0.000 0.500 0.000
Zr3 Zr 0.500 0.000 0.000
B1 B 0.000 0.000 0.000
Os1 Os 0.500 0.500 0.500



# ZrAl2Ni5 PBE-GGA relaxed
# energy relative to the elements = -0.424 eV per atom
# DOS at the Fermi energy = 10.57 states/eV per cell
# magnetization = 0.0 μB per formula unit
data_ZrAl2Ni5
_chemical_formula_sum 'Zr2 Al4 Ni10'
_symmetry_space_group_name_H-M 'P 1'
_symmetry_Int_Tables_number 1
_symmetry_space_group_name_Hall 'P 1'
_cell_length_a 5.232
_cell_length_b 10.503
_cell_length_c 3.780
_cell_angle_alpha 90.00
_cell_angle_beta 90.00
_cell_angle_gamma 90.00
loop_
_atom_site_label
_atom_site_type_symbol
_atom_site_fract_x
_atom_site_fract_y
_atom_site_fract_z
Zr1 Zr 0.000 0.000 0.000
Zr2 Zr 0.500 0.500 0.000
Al1 Al 0.193 0.354 0.500
Al2 Al 0.307 0.854 0.500
Al3 Al 0.693 0.146 0.500
Al4 Al 0.807 0.646 0.500
Ni1 Ni 0.000 0.500 0.000
Ni2 Ni 0.039 0.748 0.000
Ni3 Ni 0.228 0.122 0.500
Ni4 Ni 0.272 0.622 0.500
Ni5 Ni 0.461 0.248 0.000
Ni6 Ni 0.500 0.000 0.000
Ni7 Ni 0.539 0.752 0.000
Ni8 Ni 0.728 0.378 0.500
Ni9 Ni 0.772 0.878 0.500
Ni10 Ni 0.961 0.252 0.000



# ZnAs2Br PBE-GGA relaxed
# DOS at the Fermi energy = 1.04 states/eV per cell
# raw formation energy = -49 meV/atom
# magnetization = 0.0 μB per formula unit
data_ZnAs2Br
_chemical_formula_sum 'Zn1 As2 Br1'
_symmetry_space_group_name_H-M 'P 1'
_symmetry_Int_Tables_number 1
_symmetry_space_group_name_Hall 'P 1'
_cell_length_a 4.960
_cell_length_b 4.960
_cell_length_c 6.865
_cell_angle_alpha 92.20
_cell_angle_beta 92.20
_cell_angle_gamma 43.92
loop_
_atom_site_label
_atom_site_type_symbol
_atom_site_fract_x
_atom_site_fract_y
_atom_site_fract_z
Zn1 Zn 0.000 0.000 0.000
As1 As 0.463 0.463 0.324
As2 As 0.798 0.798 0.209
Br1 Br 0.147 0.147 0.739



# BaLi2Mg2 PBE-GGA relaxed
# energy relative to the elements = 0.023 eV per atom
# DOS at the Fermi energy = 3.23 states/eV per cell
# magnetization = 0.0 μB per formula unit
data_BaLi2Mg2
_chemical_formula_sum 'Ba1 Li2 Mg2'
_symmetry_space_group_name_H-M 'P 1'
_symmetry_Int_Tables_number 1
_symmetry_space_group_name_Hall 'P 1'
_cell_length_a 6.542
_cell_length_b 6.542
_cell_length_c 6.542
_cell_angle_alpha 131.55
_cell_angle_beta 131.55
_cell_angle_gamma 70.94
loop_
_atom_site_label
_atom_site_type_symbol
_atom_site_fract_x
_atom_site_fract_y
_atom_site_fract_z
Ba1 Ba 0.000 0.000 0.000
Li1 Li 0.250 0.750 0.500
Li2 Li 0.750 0.250 0.500
Mg1 Mg 0.358 0.358 0.000
Mg2 Mg 0.642 0.642 0.000



# TlNF5 PBE-GGA relaxed
# raw formation energy = -926 meV/atom
# magnetization = 1.0 μB per formula unit
data_TlNF5
_chemical_formula_sum 'Tl2 N2 F10'
_symmetry_space_group_name_H-M 'P 1'
_symmetry_Int_Tables_number 1
_symmetry_space_group_name_Hall 'P 1'
_cell_length_a 3.543
_cell_length_b 6.002
_cell_length_c 9.464
_cell_angle_alpha 97.14
_cell_angle_beta 91.15
_cell_angle_gamma 90.67
loop_
_atom_site_label
_atom_site_type_symbol
_atom_site_fract_x
_atom_site_fract_y
_atom_site_fract_z
Tl1 Tl 0.000 0.000 0.000
Tl2 Tl 0.493 0.537 0.185
N1 N 0.210 0.301 0.648
N2 N 0.256 0.244 0.519
F1 F 0.002 0.620 0.025
F2 F 0.005 0.276 0.193
F3 F 0.081 0.517 0.665
F4 F 0.397 0.034 0.497
F5 F 0.484 0.256 0.984
F6 F 0.497 0.823 0.858
F7 F 0.505 0.919 0.145
F8 F 0.568 0.435 0.422
F9 F 0.852 0.028 0.765
F10 F 0.992 0.695 0.307



# Pr4GeBi2Se PBE-GGA relaxed
# DOS at the Fermi energy = 1.34 states/eV per cell
# raw formation energy = -1155 meV/atom
# magnetization = 0.0 μB per formula unit
data_Pr4GeBi2Se
_chemical_formula_sum 'Pr4 Ge1 Bi2 Se1'
_symmetry_space_group_name_H-M 'P 1'
_symmetry_Int_Tables_number 1
_symmetry_space_group_name_Hall 'P 1'
_cell_length_a 7.726
_cell_length_b 4.455
_cell_length_c 7.808
_cell_angle_alpha 90.00
_cell_angle_beta 109.17
_cell_angle_gamma 90.00
loop_
_atom_site_label
_atom_site_type_symbol
_atom_site_fract_x
_atom_site_fract_y
_atom_site_fract_z
Pr1 Pr 0.240 0.000 0.231
Pr2 Pr 0.249 0.500 0.767
Pr3 Pr 0.751 0.500 0.233
Pr4 Pr 0.760 0.000 0.769
Ge1 Ge 0.000 0.500 0.000
Bi1 Bi 0.000 0.000 0.500
Bi2 Bi 0.500 0.500 0.500
Se1 Se 0.500 0.000 0.000



Number 1: final energy -43.31 eV/cell, volume 94 Å³/cell. Number 2: final energy -96.67 eV/cell, volume 208 Å³/cell. Number 3: final energy -12.44 eV/cell, volume 117 Å³/cell. Number 4: final energy -8.82 eV/cell, volume 154 Å³/cell. Number 5: final energy -53.06 eV/cell, volume 200 Å³/cell. Number 6: final energy -44.23 eV/cell, volume 254 Å³/cell.